No. 1
This record from Alexandria via LeMat-Bulk describes an optimized crystal structure of AlInRe2. The functional is PBEsol.

As for the relative energy among the computed polymorphs: 0.1513 eV per atom. The value obtained for the electronic total energy is -7.937 eV/atom. The volume comes out at 63.2 Å³/f.u. As for the formation energy: 0.498 eV per atom.

```
AlInRe2
1.0
2.694 -4.097 0.000
2.694 4.097 0.000
0.000 0.000 2.862
Al In Re
1 1 2
Direct
0.000 0.000 0.000
0.500 0.500 0.000
0.000 0.500 0.500
0.500 0.000 0.500
```

No. 2
This record from Alexandria via LeMat-Bulk describes an optimized crystal structure of BaMoPb. The functional is PBEsol.

The value obtained for the electronic total energy is -5.116 eV/atom. The volume comes out at 82.5 Å³/f.u. As for the formation energy: 0.856 eV per atom.

```
BaMoPb
1.0
3.640 0.000 0.000
-1.820 3.152 0.000
0.000 0.000 7.194
Ba Mo Pb
1 1 1
Direct
0.000 0.000 0.000
0.333 0.667 0.665
0.667 0.333 0.412
```

No. 3
This record from Alexandria via LeMat-Bulk describes an optimized crystal structure of CrFe3. The functional is PBEsol.

The value obtained for the electronic total energy is -9.260 eV/atom. The volume comes out at 41.3 Å³/f.u. As for the formation energy: 0.023 eV per atom.

```
CrFe3
1.0
3.457 0.000 0.000
0.000 3.457 0.000
0.000 0.000 3.457
Cr Fe
1 3
Direct
0.000 0.000 0.000
0.000 0.500 0.500
0.500 0.000 0.500
0.500 0.500 0.000
```

No. 4
This record from Alexandria via LeMat-Bulk describes an optimized crystal structure of SrSiMo. The functional is PBEsol.

The uncorrected formation energy is 0.759 eV/atom. The value obtained for the electronic total energy is -5.693 eV/atom. The volume comes out at 68.6 Å³/f.u.

```
SrSiMo
1.0
0.000 3.250 3.250
3.250 0.000 3.250
3.250 3.250 0.000
Sr Si Mo
1 1 1
Direct
0.000 0.000 0.000
0.750 0.750 0.750
0.500 0.500 0.500
```

No. 5
This record from Alexandria via LeMat-Bulk describes an optimized crystal structure of CaFe4Sb. The functional is PBEsol.

The uncorrected formation energy is 0.138 eV/atom. The value obtained for the electronic total energy is -6.953 eV/atom. The volume comes out at 86.1 Å³/f.u.

```
CaFe4Sb
1.0
0.000 3.505 3.505
3.505 0.000 3.505
3.505 3.505 0.000
Ca Fe Sb
1 4 1
Direct
0.000 0.000 0.000
0.375 0.375 0.375
0.375 0.375 0.874
0.375 0.874 0.375
0.874 0.375 0.375
0.750 0.750 0.750
```

No. 6
This record from Alexandria via LeMat-Bulk describes an optimized crystal structure of KZrSe. The functional is PBEsol.

The uncorrected formation energy is 0.927 eV/atom. The value obtained for the electronic total energy is -3.764 eV/atom. The volume comes out at 86.5 Å³/f.u.

```
KZrSe
1.0
0.000 3.511 3.511
3.511 0.000 3.511
3.511 3.511 0.000
K Zr Se
1 1 1
Direct
0.000 0.000 0.000
0.250 0.250 0.250
0.750 0.750 0.750
```

No. 7
This record from Alexandria via LeMat-Bulk describes an optimized crystal structure of BaCaIN2. The functional is PBEsol.

As for the relative energy among the computed polymorphs: 0.4021 eV per atom. The uncorrected formation energy is 0.626 eV/atom. The value obtained for the electronic total energy is -3.994 eV/atom. The volume comes out at 139.3 Å³/f.u.

```
BaCaIN2
1.0
4.674 0.000 0.000
0.000 4.674 0.000
0.000 0.000 6.376
Ba Ca I N
1 1 1 2
Direct
0.000 0.000 0.000
0.500 0.500 0.500
0.000 0.000 0.500
0.000 0.500 0.000
0.500 0.000 0.000
```

No. 8
This record from Alexandria via LeMat-Bulk describes an optimized crystal structure of InI3. The functional is PBEsol.

The uncorrected formation energy is -0.428 eV/atom. The value obtained for the electronic total energy is -2.499 eV/atom. The volume comes out at 168.8 Å³/f.u.

```
InI3
1.0
9.758 0.000 0.000
0.000 6.052 0.000
-3.580 0.000 11.429
In I
4 12
Direct
0.208 0.001 0.051
0.208 0.499 0.551
0.792 0.501 0.449
0.792 0.999 0.949
0.000 0.241 0.875
0.000 0.259 0.375
0.000 0.741 0.625
0.000 0.759 0.125
0.337 0.221 0.724
0.337 0.279 0.224
0.342 0.727 0.943
0.342 0.773 0.443
0.658 0.227 0.557
0.658 0.273 0.057
0.663 0.721 0.776
0.663 0.779 0.276
```